# Tm2GeO

A relaxed structure of Tm2GeO (PBE-GGA, Alexandria).

Cell: 4.4187 4.4187 7.2699 Å, 72.31 72.31 60.00°
Closest atoms and distances in Å follow each position.
Fractional positions:
Ge1 0.5000 0.5000 0.5000  6 Tm 2.91
Tm1 0.0980 0.0980 0.7060  1 O 2.00
Tm2 0.9020 0.9020 0.2940  1 O 2.00
O1 0.0000 0.0000 0.0000  2 Tm 2.00

Summary:
Size of the total moment   0.00 Bohr magnetons per cell
Formation energy from raw total energies   -1588 meV/atom
Calculated density   6.15 Mg/m³
Electronic total energy   -6.218 eV/atom



# FeCoPb2

A relaxed structure of FeCoPb2 (PBE-GGA, Alexandria).

Cell: 5.7203 5.7203 5.7203 Å, 139.70 139.70 58.31°
Closest atoms and distances in Å follow each position.
Fractional positions:
Co1 0.5000 0.5000 0.0000  4 Pb 2.79
Fe1 0.7500 0.2500 0.5000  4 Pb 2.79
Pb1 0.0000 0.0000 0.0000  4 Co 2.79
Pb2 0.2500 0.7500 0.5000  4 Fe 2.79

Summary:
Size of the total moment   3.78 Bohr magnetons per cell
Calculated density   11.32 Mg/m³
Density of states at the Fermi level   5.57 states/eV/f.u.
Electronic total energy   -5.045 eV/atom
Energy relative to the elements   702 meV per atom



# La6HgSe5

A relaxed structure of La6HgSe5 (PBE-GGA, Alexandria).

Cell: 7.5471 7.5471 7.5317 Å, 99.59 99.59 119.90°
Closest atoms and distances in Å follow each position.
Fractional positions:
Hg1 0.0000 0.0000 0.0000  6 La 3.14-3.15
Se1 0.8356 0.1644 0.5000  6 La 3.03-3.09
Se2 0.6667 0.3333 0.0000  6 La 3.07-3.08
Se3 0.5000 0.5000 0.5000  6 La 3.02-3.09
Se4 0.3333 0.6667 0.0000  6 La 3.07-3.08
Se5 0.1644 0.8356 0.5000  6 La 3.03-3.09
La1 0.4265 0.0849 0.2548  5 Se 3.03-3.09, 1 Hg 3.15
La2 0.9151 0.5735 0.7452  5 Se 3.03-3.09, 1 Hg 3.15
La3 0.2569 0.2569 0.7465  5 Se 3.02-3.07, 1 Hg 3.14
La4 0.7431 0.7431 0.2535  5 Se 3.02-3.07, 1 Hg 3.14
La5 0.0849 0.4265 0.2548  5 Se 3.03-3.09, 1 Hg 3.15
La6 0.5735 0.9151 0.7452  5 Se 3.03-3.09, 1 Hg 3.15

Summary:
Size of the total moment   0.00 Bohr magnetons per cell
Formation energy from raw total energies   -1730 meV/atom
Calculated density   6.77 Mg/m³
Density of states at the Fermi level   6.39 states/eV/f.u.
Electronic total energy   -5.671 eV/atom



# RbMgTl4

A relaxed structure of RbMgTl4 (PBE-GGA, Alexandria).

Cell: 4.6962 9.0663 9.4558 Å, 90.00 90.00 90.00°
Closest atoms and distances in Å follow each position.
Fractional positions:
Rb1 0.0000 0.6142 0.7500  12 Tl 3.79-4.22, 1 Mg 3.79
Rb2 0.0000 0.3858 0.2500  12 Tl 3.79-4.22, 1 Mg 3.79
Mg1 0.0000 0.1956 0.7500  8 Tl 2.96-3.28
Mg2 0.0000 0.8044 0.2500  8 Tl 2.96-3.28
Tl1 0.0000 0.0000 0.5000  2 Mg 2.96
Tl2 0.0000 0.0000 0.0000  2 Mg 2.96
Tl3 0.5000 0.9427 0.7500  2 Mg 3.28, 6 Tl 3.37-3.67
Tl4 0.5000 0.0573 0.2500  2 Mg 3.28, 6 Tl 3.37-3.67
Tl5 0.5000 0.6990 0.0601  2 Mg 3.11
Tl6 0.5000 0.3010 0.9399  2 Mg 3.11
Tl7 0.5000 0.6990 0.4399  2 Mg 3.11
Tl8 0.5000 0.3010 0.5601  2 Mg 3.11

Summary:
Size of the total moment   0.00 Bohr magnetons per cell
Calculated density   7.65 Mg/m³
Density of states at the Fermi level   3.27 states/eV/f.u.
Electronic total energy   -2.050 eV/atom
Energy relative to the elements   -45 meV per atom



# SiWBr2

A relaxed structure of SiWBr2 (PBE-GGA, Alexandria).

Cell: 5.1350 5.5733 3.3762 Å, 72.95 88.79 117.02°
Closest atoms and distances in Å follow each position.
Fractional positions:
Br1 0.0000 0.0000 0.0000  2 Si 2.80, 2 W 2.80, 4 Br 3.04-3.10
Br2 0.5000 0.0000 0.5000  2 W 2.80, 2 Si 2.80, 4 Br 3.04-3.10
Si1 0.0000 0.5000 0.5000  4 Br 2.80, 4 W 3.04-3.10
W1 0.5000 0.5000 0.0000  4 Br 2.80, 4 Si 3.04-3.10

Summary:
Size of the total moment   2.25 Bohr magnetons per cell
Formation energy from raw total energies   1102 meV/atom
Calculated density   7.63 Mg/m³
Density of states at the Fermi level   2.25 states/eV/f.u.
Electronic total energy   -4.328 eV/atom



# Re2OsSe

A relaxed structure of Re2OsSe (PBE-GGA, Alexandria).

Cell: 5.2590 5.2590 5.2590 Å, 147.27 129.89 61.14°
Closest atoms and distances in Å follow each position.
Fractional positions:
Os1 0.2500 0.7500 0.5000  4 Se 2.67, 4 Re 2.89, 2 Os 2.96
Re1 0.9763 0.9763 0.0000  2 Se 2.53, 4 Re 2.71
Re2 0.5237 0.5237 0.0000  2 Se 2.53, 4 Re 2.71
Se1 0.7500 0.2500 0.5000  4 Re 2.53, 4 Os 2.67

Summary:
Size of the total moment   0.00 Bohr magnetons per cell
Formation energy from raw total energies   549 meV/atom
Calculated density   17.83 Mg/m³
Density of states at the Fermi level   2.64 states/eV/f.u.
Electronic total energy   -9.354 eV/atom



# Hf4Ni3Rh2

A relaxed structure of Hf4Ni3Rh2 (PBE-GGA, Alexandria).

Cell: 3.9769 4.8370 8.8683 Å, 73.47 90.01 65.73°
Closest atoms and distances in Å follow each position.
Fractional positions:
Hf1 0.6300 0.7402 0.8881  3 Ni 2.49-2.64, 3 Rh 2.75-2.78
Hf2 0.0987 0.8025 0.3805  3 Ni 2.48-2.77
Hf3 0.9013 0.1975 0.6195  3 Ni 2.48-2.77
Hf4 0.3700 0.2598 0.1119  3 Ni 2.49-2.64, 3 Rh 2.75-2.78
Ni1 0.3837 0.2308 0.3966  1 Ni 2.27, 2 Hf 2.48-2.49
Ni2 0.0000 0.0000 0.0000  4 Hf 2.64, 4 Rh 2.94
Ni3 0.6163 0.7692 0.6034  1 Ni 2.27, 2 Hf 2.48-2.49
Rh1 0.2965 0.4076 0.7870  4 Ni 2.74-2.94, 6 Hf 2.75-2.81
Rh2 0.7035 0.5924 0.2130  4 Ni 2.74-2.94, 6 Hf 2.75-2.81

Summary:
Size of the total moment   0.00 Bohr magnetons per cell
Calculated density   12.32 Mg/m³
Density of states at the Fermi level   4.26 states/eV/f.u.
Electronic total energy   -8.557 eV/atom
Energy relative to the elements   -573 meV per atom



# TmScBr

A relaxed structure of TmScBr (PBE-GGA, Alexandria).

Cell: 3.4518 5.3104 12.0092 Å, 116.23 125.09 90.00°
Closest atoms and distances in Å follow each position.
Fractional positions:
Sc1 0.8417 0.5458 0.7957  4 Br 2.81-3.00
Sc2 0.1583 0.4542 0.2043  4 Br 2.81-3.00
Tm1 0.0714 0.1609 0.4107  2 Br 3.15, 1 Sc 3.18, 6 Tm 3.45-3.49
Tm2 0.9286 0.8391 0.5893  2 Br 3.15, 1 Sc 3.18, 6 Tm 3.45-3.49
Br1 0.9338 0.8419 0.0920  4 Sc 2.81-3.00
Br2 0.0662 0.1581 0.9080  4 Sc 2.81-3.00

Summary:
Size of the total moment   0.80 Bohr magnetons per cell
Formation energy from raw total energies   -562 meV/atom
Calculated density   6.44 Mg/m³
Density of states at the Fermi level   3.37 states/eV/f.u.
Electronic total energy   -4.720 eV/atom



# Cs4AlBr7

A relaxed structure of Cs4AlBr7 (PBE-GGA, Alexandria).

Cell: 7.3513 8.6096 10.6387 Å, 95.00 69.79 64.73°
Closest atoms and distances in Å follow each position.
Fractional positions:
Cs1 0.6955 0.2042 0.5001  5 Br 3.48-3.78
Cs2 0.3997 0.7958 0.4999  5 Br 3.48-3.78
Cs3 0.8578 0.5737 0.8115  6 Br 3.57-3.98
Cs4 0.2429 0.4263 0.1885  6 Br 3.57-3.98
Al1 0.0353 0.0000 0.0000  3 Br 2.35
Br1 0.9069 0.7630 0.5146  5 Cs 3.48-3.70
Br2 0.1846 0.2370 0.4854  5 Cs 3.48-3.70
Br3 0.8369 0.8983 0.1635  1 Al 2.35
Br4 0.8987 0.1017 0.8365  1 Al 2.35
Br5 0.2968 0.6632 0.8302  1 Al 2.70
Br6 0.3547 0.0000 0.0000  1 Al 2.35
Br7 0.7902 0.3368 0.1698  1 Al 2.70

Summary:
Size of the total moment   0.11 Bohr magnetons per cell
Formation energy from raw total energies   -1553 meV/atom
Calculated density   3.38 Mg/m³
Density of states at the Fermi level   0.00 states/eV/f.u.
Electronic total energy   -3.125 eV/atom



# LaTbTl

A relaxed structure of LaTbTl (PBE-GGA, Alexandria).

Cell: 3.7217 3.7217 7.3924 Å, 104.58 104.58 90.00°
Closest atoms and distances in Å follow each position.
Fractional positions:
Tl1 0.9578 0.9578 0.9156  4 Tb 3.29, 4 La 3.49
Tb1 0.6005 0.6005 0.2011  4 Tl 3.29
La1 0.2917 0.2917 0.5833  4 Tl 3.49, 4 La 3.72, 4 Tb 3.73

Summary:
Size of the total moment   0.00 Bohr magnetons per cell
Calculated density   8.72 Mg/m³
Density of states at the Fermi level   3.31 states/eV/f.u.
Electronic total energy   -4.198 eV/atom
Energy relative to the elements   -223 meV per atom



# LiPr4Er3Se8

A relaxed structure of LiPr4Er3Se8 (PBE-GGA, Alexandria).

Cell: 8.1961 8.3787 8.1962 Å, 119.28 120.00 90.00°
Closest atoms and distances in Å follow each position.
Fractional positions:
Li1 0.0000 0.5000 0.0000  6 Se 2.81
Pr1 0.5000 0.0000 0.0000  6 Se 3.06
Pr2 0.5000 0.0000 0.5000  6 Se 3.02
Pr3 0.0000 0.0000 0.0000  6 Se 3.02
Pr4 0.0000 0.0000 0.5000  6 Se 3.02
Er1 0.5000 0.5000 0.0000  6 Se 2.85
Er2 0.5000 0.5000 0.5000  6 Se 2.85
Er3 0.0000 0.5000 0.5000  6 Se 2.85
Se1 0.2396 0.7260 0.9864  1 Li 2.81, 2 Er 2.85, 3 Pr 3.02-3.06
Se2 0.2396 0.7260 0.4792  1 Li 2.81, 2 Er 2.85, 3 Pr 3.02-3.06
Se3 0.2568 0.2705 0.5136  3 Er 2.85, 3 Pr 3.02
Se4 0.7468 0.7260 0.9864  1 Li 2.81, 2 Er 2.85, 3 Pr 3.02-3.06
Se5 0.2532 0.2740 0.0136  1 Li 2.81, 2 Er 2.85, 3 Pr 3.02-3.06
Se6 0.7432 0.7295 0.4864  3 Er 2.85, 3 Pr 3.02
Se7 0.7604 0.2740 0.5208  1 Li 2.81, 2 Er 2.85, 3 Pr 3.02-3.06
Se8 0.7604 0.2740 0.0136  1 Li 2.81, 2 Er 2.85, 3 Pr 3.02-3.06

Summary:
Size of the total moment   0.00 Bohr magnetons per cell
Formation energy from raw total energies   -1768 meV/atom
Calculated density   7.03 Mg/m³
Density of states at the Fermi level   7.83 states/eV/f.u.
Electronic total energy   -5.680 eV/atom



# Tb3NdY6Sc2

A relaxed structure of Tb3NdY6Sc2 (PBE-GGA, Alexandria).

Cell: 6.1072 6.1072 11.6958 Å, 94.97 94.97 119.96°
Closest atoms and distances in Å follow each position.
Fractional positions:
Tb1 0.1672 0.8328 0.5000  6 Tb 3.52-3.54, 6 Y 3.55-3.57
Tb2 0.8328 0.1672 0.5000  6 Tb 3.52-3.54, 6 Y 3.55-3.57
Tb3 0.5000 0.5000 0.5000  6 Tb 3.52-3.53, 6 Y 3.55-3.57
Nd1 0.0000 0.0000 0.0000  6 Y 3.50, 6 Sc 3.53
Y1 0.9172 0.5811 0.7539  2 Sc 3.48-3.49, 1 Nd 3.50, 6 Y 3.51-3.56, 3 Tb 3.55-3.57
Y2 0.7464 0.7464 0.2460  2 Sc 3.49, 1 Nd 3.50, 6 Y 3.51-3.56, 3 Tb 3.55-3.57
Y3 0.0828 0.4189 0.2461  2 Sc 3.48-3.49, 1 Nd 3.50, 6 Y 3.51-3.56, 3 Tb 3.55-3.57
Y4 0.5811 0.9172 0.7539  2 Sc 3.48-3.49, 1 Nd 3.50, 6 Y 3.51-3.56, 3 Tb 3.55-3.57
Y5 0.2536 0.2536 0.7540  2 Sc 3.49, 1 Nd 3.50, 6 Y 3.51-3.56, 3 Tb 3.55-3.57
Y6 0.4189 0.0828 0.2461  2 Sc 3.48-3.49, 1 Nd 3.50, 6 Y 3.51-3.56, 3 Tb 3.55-3.57
Sc1 0.3333 0.6667 0.0000  6 Y 3.48-3.49, 3 Sc 3.52-3.53, 3 Nd 3.53
Sc2 0.6667 0.3333 0.0000  6 Y 3.48-3.49, 3 Sc 3.52-3.53, 3 Nd 3.53

Summary:
Size of the total moment   0.00 Bohr magnetons per cell
Calculated density   5.55 Mg/m³
Density of states at the Fermi level   17.72 states/eV/f.u.
Electronic total energy   -5.801 eV/atom
Energy relative to the elements   41 meV per atom



Q: size of the total moment of number 9 (Cs4AlBr7)?
A: 0.11 Bohr magnetons per cell



Q: Which value of electronic total energy does entry 4 give?
A: -2.050 eV/atom



Please write out number 12 again, unchanged.
# Tb3NdY6Sc2

A relaxed structure of Tb3NdY6Sc2 (PBE-GGA, Alexandria).

Cell: 6.1072 6.1072 11.6958 Å, 94.97 94.97 119.96°
Closest atoms and distances in Å follow each position.
Fractional positions:
Tb1 0.1672 0.8328 0.5000  6 Tb 3.52-3.54, 6 Y 3.55-3.57
Tb2 0.8328 0.1672 0.5000  6 Tb 3.52-3.54, 6 Y 3.55-3.57
Tb3 0.5000 0.5000 0.5000  6 Tb 3.52-3.53, 6 Y 3.55-3.57
Nd1 0.0000 0.0000 0.0000  6 Y 3.50, 6 Sc 3.53
Y1 0.9172 0.5811 0.7539  2 Sc 3.48-3.49, 1 Nd 3.50, 6 Y 3.51-3.56, 3 Tb 3.55-3.57
Y2 0.7464 0.7464 0.2460  2 Sc 3.49, 1 Nd 3.50, 6 Y 3.51-3.56, 3 Tb 3.55-3.57
Y3 0.0828 0.4189 0.2461  2 Sc 3.48-3.49, 1 Nd 3.50, 6 Y 3.51-3.56, 3 Tb 3.55-3.57
Y4 0.5811 0.9172 0.7539  2 Sc 3.48-3.49, 1 Nd 3.50, 6 Y 3.51-3.56, 3 Tb 3.55-3.57
Y5 0.2536 0.2536 0.7540  2 Sc 3.49, 1 Nd 3.50, 6 Y 3.51-3.56, 3 Tb 3.55-3.57
Y6 0.4189 0.0828 0.2461  2 Sc 3.48-3.49, 1 Nd 3.50, 6 Y 3.51-3.56, 3 Tb 3.55-3.57
Sc1 0.3333 0.6667 0.0000  6 Y 3.48-3.49, 3 Sc 3.52-3.53, 3 Nd 3.53
Sc2 0.6667 0.3333 0.0000  6 Y 3.48-3.49, 3 Sc 3.52-3.53, 3 Nd 3.53

Summary:
Size of the total moment   0.00 Bohr magnetons per cell
Calculated density   5.55 Mg/m³
Density of states at the Fermi level   17.72 states/eV/f.u.
Electronic total energy   -5.801 eV/atom
Energy relative to the elements   41 meV per atom



Q: Which value of size of the total moment does entry 3 give?
A: 0.00 Bohr magnetons per cell